Record 1
{"formula": "Er3RuPb2", "functional": "PBE-GGA", "state": "optimized geometry", "lattice": [[4.310, 0.000, 0.000], [0.000, 11.663, 0.000], [0.000, 0.000, 12.642]], "species": ["Er", "Er", "Er", "Er", "Er", "Er", "Er", "Er", "Er", "Er", "Er", "Er", "Pb", "Pb", "Pb", "Pb", "Pb", "Pb", "Pb", "Pb", "Ru", "Ru", "Ru", "Ru"], "fractional_positions": [[0.250, 0.037, 0.882], [0.750, 0.870, 0.443], [0.750, 0.963, 0.118], [0.750, 0.219, 0.245], [0.250, 0.370, 0.057], [0.250, 0.781, 0.755], [0.750, 0.281, 0.745], [0.750, 0.537, 0.618], [0.250, 0.719, 0.255], [0.250, 0.463, 0.382], [0.250, 0.130, 0.557], [0.750, 0.630, 0.943], [0.750, 0.510, 0.185], [0.750, 0.198, 0.983], [0.250, 0.698, 0.517], [0.250, 0.802, 0.017], [0.750, 0.302, 0.483], [0.250, 0.010, 0.315], [0.750, 0.990, 0.685], [0.250, 0.490, 0.815], [0.750, 0.634, 0.375], [0.250, 0.366, 0.625], [0.750, 0.866, 0.875], [0.250, 0.134, 0.125]], "crystal_system": "orthorhombic", "e_form_ev_per_atom": -0.427, "n_ef_per_ev_atom": 0.682, "sg": "Pnma (62)"}

***

Record 2
{"formula": "SrTbPu2S4", "functional": "PBE-GGA", "state": "optimized geometry", "lattice": [[4.013, 0.000, 0.000], [0.000, 6.954, -0.120], [0.000, 2.466, 6.581]], "species": ["Tb", "S", "S", "S", "S", "Pu", "Pu", "Sr"], "fractional_positions": [[0.000, 0.500, 0.500], [0.000, 0.759, 0.736], [0.000, 0.241, 0.264], [0.500, 0.753, 0.256], [0.500, 0.247, 0.744], [0.000, 0.000, 0.000], [0.500, 0.000, 0.500], [0.500, 0.500, 0.000]], "e_form_raw_ev_per_fu": -14.84, "crystal_system": "monoclinic", "n_ef_per_ev_atom": 2.599, "sg": "P2/m (10)"}

***

Record 3
{"formula": "Sc4CoNi2Ir", "functional": "PBE-GGA", "state": "optimized geometry", "lattice": [[-4.342, 0.974, 0.650], [-2.143, -1.586, 3.621], [-0.257, 5.787, 5.175]], "species": ["Ir", "Ni", "Ni", "Sc", "Sc", "Sc", "Sc", "Co"], "fractional_positions": [[0.000, 0.000, 0.000], [0.250, 0.250, 0.250], [0.750, 0.750, 0.750], [0.873, 0.873, 0.380], [0.127, 0.127, 0.620], [0.377, 0.377, 0.869], [0.623, 0.623, 0.131], [0.500, 0.500, 0.500]], "crystal_system": "trigonal", "e_form_ev_per_atom": -0.611, "n_ef_per_ev_atom": 0.640, "sg": "R-3m (166)"}

***

What did the second record say?
{"formula": "SrTbPu2S4", "functional": "PBE-GGA", "state": "optimized geometry", "lattice": [[4.013, 0.000, 0.000], [0.000, 6.954, -0.120], [0.000, 2.466, 6.581]], "species": ["Tb", "S", "S", "S", "S", "Pu", "Pu", "Sr"], "fractional_positions": [[0.000, 0.500, 0.500], [0.000, 0.759, 0.736], [0.000, 0.241, 0.264], [0.500, 0.753, 0.256], [0.500, 0.247, 0.744], [0.000, 0.000, 0.000], [0.500, 0.000, 0.500], [0.500, 0.500, 0.000]], "e_form_raw_ev_per_fu": -14.84, "crystal_system": "monoclinic", "n_ef_per_ev_atom": 2.599, "sg": "P2/m (10)"}